Below is a relaxed Tb2Tm3Cd2 crystal, with properties calculated at the GGA-PBE level.

Cell: 11.562 11.562 3.426 Å, 90.00 90.00 154.74°
Atoms (fractional coordinates):
1 Tb 0.211 0.789 0.000
2 Tb 0.789 0.211 0.000
3 Tm 0.354 0.646 0.500
4 Tm 0.500 0.500 0.500
5 Tm 0.646 0.354 0.500
6 Cd 0.068 0.932 0.000
7 Cd 0.932 0.068 0.000

Values from the calculation:
Formation energy = -37 meV/atom
Final energy = -3.54 eV/atom
ρ = 8.917 Mg/m³
Symmetry = Cmmm (65)
M_tot = 0.000 μB/f.u.
Crystal system = orthorhombic
Energy relative to the lowest polymorph listed for this composition = 109 meV/atom

Below is a relaxed Tb3TmCd crystal, with properties calculated at the GGA-PBE level.

Cell: 9.564 9.564 6.747 Å, 96.40 96.40 89.80°
Atoms (fractional coordinates):
1 Tb 0.031 0.174 0.110
2 Tb 0.174 0.031 0.610
3 Tb 0.175 0.497 0.976
4 Tb 0.227 0.389 0.472
5 Tb 0.389 0.227 0.972
6 Tb 0.497 0.175 0.476
7 Tb 0.503 0.825 0.524
8 Tb 0.611 0.773 0.028
9 Tb 0.773 0.611 0.528
10 Tb 0.825 0.503 0.024
11 Tb 0.826 0.969 0.390
12 Tb 0.969 0.826 0.890
13 Tm 0.080 0.710 0.361
14 Tm 0.290 0.920 0.139
15 Tm 0.710 0.080 0.861
16 Tm 0.920 0.290 0.639
17 Cd 0.282 0.718 0.750
18 Cd 0.483 0.517 0.250
19 Cd 0.517 0.483 0.750
20 Cd 0.718 0.282 0.250

Values from the calculation:
Formation energy = 50 meV/atom
Final energy = -3.81 eV/atom
ρ = 8.263 Mg/m³
Symmetry = C2/c (15)
M_tot = 0.000 μB/f.u.
Crystal system = monoclinic
Energy relative to the lowest polymorph listed for this composition = 75 meV/atom

Below is a relaxed TbTm5Cd3 crystal, with properties calculated at the GGA-PBE level.

Cell: 9.067 9.067 6.867 Å, 90.00 90.00 120.00°
Atoms (fractional coordinates):
1 Tb 0.000 0.000 0.000
2 Tb 0.000 0.000 0.500
3 Tm 0.000 0.335 0.250
4 Tm 0.000 0.665 0.750
5 Tm 0.333 0.667 0.000
6 Tm 0.333 0.667 0.500
7 Tm 0.335 0.000 0.250
8 Tm 0.335 0.335 0.750
9 Tm 0.665 0.000 0.750
10 Tm 0.665 0.665 0.250
11 Tm 0.667 0.333 0.000
12 Tm 0.667 0.333 0.500
13 Cd 0.000 0.333 0.750
14 Cd 0.000 0.667 0.250
15 Cd 0.333 0.000 0.750
16 Cd 0.333 0.333 0.250
17 Cd 0.667 0.000 0.250
18 Cd 0.667 0.667 0.750

Values from the calculation:
Formation energy = -184 meV/atom
Final energy = -3.49 eV/atom
ρ = 9.107 Mg/m³
Symmetry = P6_3/mcm (193)
M_tot = 0.000 μB/f.u.
Crystal system = hexagonal